5
Lattice="4.7991 0.0000 0.0000 0.0000 4.7991 0.0000 0.0000 0.0000 4.7991" Properties=species:S:1:pos:R:3 comment="NiAuBr3 | the Alexandria database | PBEsol | relaxed" total_energy_ev_per_atom=-2.87 vol_a3_per_cell=111 pbc="T T T"
Ni 0.0000 0.0000 0.0000
Au 2.3995 2.3995 2.3995
Br 0.0000 0.0000 2.3995
Br 0.0000 2.3995 0.0000
Br 2.3995 0.0000 0.0000